Record 1
The following is a GGA-PBE calculation of an optimized crystal structure of In3Pt12Au, from the Alexandria database.

## Properties
total DFT energy (no corrections)	-5.51	eV per atom
M_tot	0.000	μB per cell

Structure (CIF):
```
data_In3Pt12Au
_chemical_formula_sum 'In3 Pt12 Au1'
_cell_length_a 4.060
_cell_length_b 4.060
_cell_length_c 16.019
_cell_angle_alpha 90.00
_cell_angle_beta 90.00
_cell_angle_gamma 90.00
_space_group_name_H-M_alt 'P 1'
_space_group_IT_number 1
_space_group_name_Hall 'P 1'
loop_
_atom_site_label
_atom_site_fract_x
_atom_site_fract_y
_atom_site_fract_z
Pt1 0.000 0.500 0.374
Pt2 0.000 0.500 0.876
Pt3 0.000 0.500 0.124
Pt4 0.500 0.000 0.626
Pt5 0.500 0.000 0.124
Pt6 0.500 0.500 0.000
Pt7 0.500 0.000 0.876
Pt8 0.000 0.500 0.626
Pt9 0.500 0.000 0.374
Pt10 0.500 0.500 0.500
Pt11 0.500 0.500 0.249
Pt12 0.500 0.500 0.751
In1 0.000 0.000 0.248
In2 0.000 0.000 0.752
In3 0.000 0.000 0.500
Au1 0.000 0.000 0.000
```

***

Record 2
The following is a GGA-PBE calculation of an optimized crystal structure of In2PtAu, from the Alexandria database.

## Properties
total DFT energy (no corrections)	-3.74	eV per atom
M_tot	0.000	μB per cell

Structure (CIF):
```
data_In2PtAu
_chemical_formula_sum 'In4 Pt2 Au2'
_cell_length_a 4.337
_cell_length_b 4.337
_cell_length_c 9.751
_cell_angle_alpha 77.15
_cell_angle_beta 77.15
_cell_angle_gamma 90.00
_space_group_name_H-M_alt 'P 1'
_space_group_IT_number 1
_space_group_name_Hall 'P 1'
loop_
_atom_site_label
_atom_site_fract_x
_atom_site_fract_y
_atom_site_fract_z
Au1 0.000 0.000 0.000
Au2 0.750 0.250 0.500
Pt1 0.250 0.750 0.500
Pt2 0.500 0.500 0.000
In1 0.133 0.625 0.250
In2 0.617 0.125 0.250
In3 0.875 0.867 0.750
In4 0.375 0.383 0.750
```

***

Record 3
The following is a GGA-PBE calculation of an optimized crystal structure of InSbPtAu2, from the Alexandria database.

## Properties
total DFT energy (no corrections)	-3.22	eV per atom
M_tot	0.000	μB per cell
E_form (uncorrected)	0.676	eV per atom

Structure (CIF):
```
data_InSbPtAu2
_chemical_formula_sum 'In1 Sb1 Pt1 Au2'
_cell_length_a 5.080
_cell_length_b 5.035
_cell_length_c 5.080
_cell_angle_alpha 90.00
_cell_angle_beta 90.00
_cell_angle_gamma 90.00
_space_group_name_H-M_alt 'P 1'
_space_group_IT_number 1
_space_group_name_Hall 'P 1'
loop_
_atom_site_label
_atom_site_fract_x
_atom_site_fract_y
_atom_site_fract_z
Pt1 0.000 0.500 0.000
Au1 0.000 0.000 0.500
Au2 0.500 0.000 0.000
Sb1 0.500 0.500 0.500
In1 0.000 0.000 0.000
```

***

Record 4
The following is a GGA-PBE calculation of an optimized crystal structure of Sc5In2Pt2Au, from the Alexandria database.

## Properties
total DFT energy (no corrections)	-6.04	eV per atom
M_tot	0.000	μB per cell

Structure (CIF):
```
data_Sc5In2Pt2Au
_chemical_formula_sum 'Sc10 In4 Pt4 Au2'
_cell_length_a 3.366
_cell_length_b 11.309
_cell_length_c 11.309
_cell_angle_alpha 90.00
_cell_angle_beta 90.00
_cell_angle_gamma 90.00
_space_group_name_H-M_alt 'P 1'
_space_group_IT_number 1
_space_group_name_Hall 'P 1'
loop_
_atom_site_label
_atom_site_fract_x
_atom_site_fract_y
_atom_site_fract_z
Pt1 0.000 0.632 0.868
Pt2 0.000 0.868 0.368
Pt3 0.000 0.368 0.132
Pt4 0.000 0.132 0.632
Sc1 0.500 0.071 0.804
Sc2 0.500 0.196 0.071
Sc3 0.500 0.000 0.500
Sc4 0.500 0.304 0.571
Sc5 0.500 0.804 0.929
Sc6 0.500 0.571 0.696
Sc7 0.500 0.929 0.196
Sc8 0.500 0.500 0.000
Sc9 0.500 0.429 0.304
Sc10 0.500 0.696 0.429
Au1 0.000 0.500 0.500
Au2 0.000 0.000 0.000
In1 0.000 0.672 0.172
In2 0.000 0.328 0.828
In3 0.000 0.828 0.672
In4 0.000 0.172 0.328
```

***

Record 5
The following is a GGA-PBE calculation of an optimized crystal structure of SrInPt2Au, from the Alexandria database.

## Properties
total DFT energy (no corrections)	-4.53	eV per atom
M_tot	0.000	μB per cell

Structure (CIF):
```
data_SrInPt2Au
_chemical_formula_sum 'Sr1 In1 Pt2 Au1'
_cell_length_a 4.189
_cell_length_b 4.056
_cell_length_c 7.175
_cell_angle_alpha 106.42
_cell_angle_beta 106.97
_cell_angle_gamma 90.00
_space_group_name_H-M_alt 'P 1'
_space_group_IT_number 1
_space_group_name_Hall 'P 1'
loop_
_atom_site_label
_atom_site_fract_x
_atom_site_fract_y
_atom_site_fract_z
Pt1 0.684 0.184 0.368
Pt2 0.044 0.044 0.088
In1 0.190 0.690 0.380
Au1 0.840 0.840 0.680
Sr1 0.454 0.454 0.908
```

***

Record 6
The following is a GGA-PBE calculation of an optimized crystal structure of ThInPtAu, from the Alexandria database.

## Properties
total DFT energy (no corrections)	-5.63	eV per atom
M_tot	0.000	μB per cell

Structure (CIF):
```
data_ThInPtAu
_chemical_formula_sum 'Th1 In1 Pt1 Au1'
_cell_length_a 5.015
_cell_length_b 5.015
_cell_length_c 5.015
_cell_angle_alpha 60.00
_cell_angle_beta 60.00
_cell_angle_gamma 60.00
_space_group_name_H-M_alt 'P 1'
_space_group_IT_number 1
_space_group_name_Hall 'P 1'
loop_
_atom_site_label
_atom_site_fract_x
_atom_site_fract_y
_atom_site_fract_z
In1 0.500 0.500 0.500
Th1 0.000 0.000 0.000
Pt1 0.750 0.750 0.750
Au1 0.250 0.250 0.250
```

***

Record 7
The following is a GGA-PBE calculation of an optimized crystal structure of TmInPtAu, from the Alexandria database.

## Properties
total DFT energy (no corrections)	-4.95	eV per atom
M_tot	0.000	μB per cell

Structure (CIF):
```
data_TmInPtAu
_chemical_formula_sum 'Tm1 In1 Pt1 Au1'
_cell_length_a 4.844
_cell_length_b 4.844
_cell_length_c 4.844
_cell_angle_alpha 60.00
_cell_angle_beta 60.00
_cell_angle_gamma 60.00
_space_group_name_H-M_alt 'P 1'
_space_group_IT_number 1
_space_group_name_Hall 'P 1'
loop_
_atom_site_label
_atom_site_fract_x
_atom_site_fract_y
_atom_site_fract_z
Tm1 0.000 0.000 0.000
Pt1 0.750 0.750 0.750
In1 0.500 0.500 0.500
Au1 0.250 0.250 0.250
```

***

Record 8
The following is a GGA-PBE calculation of an optimized crystal structure of UInPtAu, from the Alexandria database.

## Properties
total DFT energy (no corrections)	-6.22	eV per atom
M_tot	2.082	μB per cell

Structure (CIF):
```
data_UInPtAu
_chemical_formula_sum 'U1 In1 Pt1 Au1'
_cell_length_a 4.902
_cell_length_b 4.902
_cell_length_c 4.902
_cell_angle_alpha 60.00
_cell_angle_beta 60.00
_cell_angle_gamma 60.00
_space_group_name_H-M_alt 'P 1'
_space_group_IT_number 1
_space_group_name_Hall 'P 1'
loop_
_atom_site_label
_atom_site_fract_x
_atom_site_fract_y
_atom_site_fract_z
Au1 0.250 0.250 0.250
In1 0.000 0.000 0.000
Pt1 0.750 0.750 0.750
U1 0.500 0.500 0.500
```

***

Record 9
The following is a GGA-PBE calculation of an optimized crystal structure of PuInAu4, from the Alexandria database.

## Properties
total DFT energy (no corrections)	-5.19	eV per atom
polymorph energy (0 for the lowest one)	114	meV/atom
M_tot	11.287	μB per cell

Structure (CIF):
```
data_PuInAu4
_chemical_formula_sum 'Pu2 In2 Au8'
_cell_length_a 4.960
_cell_length_b 7.417
_cell_length_c 7.921
_cell_angle_alpha 90.00
_cell_angle_beta 108.25
_cell_angle_gamma 90.00
_space_group_name_H-M_alt 'P 1'
_space_group_IT_number 1
_space_group_name_Hall 'P 1'
loop_
_atom_site_label
_atom_site_fract_x
_atom_site_fract_y
_atom_site_fract_z
In1 0.142 0.750 0.284
In2 0.858 0.250 0.716
Au1 0.000 0.000 0.000
Au2 0.772 0.929 0.544
Au3 0.772 0.571 0.544
Au4 0.228 0.071 0.456
Au5 0.000 0.500 0.000
Au6 0.433 0.250 0.867
Au7 0.567 0.750 0.133
Au8 0.228 0.429 0.456
Pu1 0.627 0.250 0.254
Pu2 0.373 0.750 0.746
```

***

Record 10
The following is a GGA-PBE calculation of an optimized crystal structure of Pu2InAu2, from the Alexandria database.

## Properties
total DFT energy (no corrections)	-7.99	eV per atom
M_tot	22.573	μB per cell

Structure (CIF):
```
data_Pu2InAu2
_chemical_formula_sum 'Pu4 In2 Au4'
_cell_length_a 4.006
_cell_length_b 7.873
_cell_length_c 7.873
_cell_angle_alpha 90.00
_cell_angle_beta 90.00
_cell_angle_gamma 90.00
_space_group_name_H-M_alt 'P 1'
_space_group_IT_number 1
_space_group_name_Hall 'P 1'
loop_
_atom_site_label
_atom_site_fract_x
_atom_site_fract_y
_atom_site_fract_z
In1 0.000 0.500 0.500
In2 0.000 0.000 0.000
Pu1 0.500 0.172 0.672
Pu2 0.500 0.328 0.172
Pu3 0.500 0.828 0.328
Pu4 0.500 0.672 0.828
Au1 0.000 0.629 0.129
Au2 0.000 0.871 0.629
Au3 0.000 0.371 0.871
Au4 0.000 0.129 0.371
```

***

Record 11
The following is a GGA-PBE calculation of an optimized crystal structure of PuIn2Au3, from the Alexandria database.

## Properties
total DFT energy (no corrections)	-5.17	eV per atom
polymorph energy (0 for the lowest one)	71	meV/atom
M_tot	11.403	μB per cell

Structure (CIF):
```
data_PuIn2Au3
_chemical_formula_sum 'Pu2 In4 Au6'
_cell_length_a 3.684
_cell_length_b 5.016
_cell_length_c 14.621
_cell_angle_alpha 90.00
_cell_angle_beta 90.00
_cell_angle_gamma 90.00
_space_group_name_H-M_alt 'P 1'
_space_group_IT_number 1
_space_group_name_Hall 'P 1'
loop_
_atom_site_label
_atom_site_fract_x
_atom_site_fract_y
_atom_site_fract_z
Au1 0.495 0.500 0.327
Au2 0.505 0.000 0.173
Au3 0.505 0.000 0.827
Au4 0.495 0.500 0.673
Au5 0.503 0.500 0.000
Au6 0.497 0.000 0.500
In1 0.000 0.500 0.164
In2 0.000 0.000 0.336
In3 0.000 0.000 0.664
In4 0.000 0.500 0.836
Pu1 0.004 0.000 0.000
Pu2 0.996 0.500 0.500
```